6
Lattice="-2.631 -3.808 -1.630 -0.795 -3.863 2.920 -4.488 -0.832 1.801" Properties=species:S:1:pos:R:3 comment="Li4SbRh PBE-GGA relaxed" m_tot_mub_per_fu=0.1 e_form_raw_ev_per_atom=-0.23 space_group="F-43m (216)" relative_energy_ev_per_atom=0.205 crystal_system=cubic dft_energy_ry_per_atom=-0.25112 pbc="T T T"
Li -5.190 -3.616 2.051
Rh -5.935 -6.377 2.318
Li -4.277 -5.078 0.365
Li -2.985 -3.207 1.166
Li -3.375 -5.105 2.600
Sb 0.000 0.000 0.000